The following is a DFT calculation (GGA-PBE) of an optimized crystal structure of Ta3In5.

Results
E above lowest polymorph	0.000	eV per atom
formation enthalpy at 0 K	287	meV per atom
raw total energy	-5.869	eV per atom
ρ	11.3	g cm⁻³
calculated volume	164	Å³/cell
SG	No. 65

Cell: 6.389 6.389 4.026 Å, 90.00 90.00 94.52°
Positions (direct):
Ta1 0.000 0.000 0.000
Ta2 0.252 0.252 0.500
Ta3 0.748 0.748 0.500
In1 0.000 0.500 0.000
In2 0.239 0.761 0.500
In3 0.500 0.000 0.000
In4 0.500 0.500 0.000
In5 0.761 0.239 0.500

The following is a DFT calculation (GGA-PBE) of an optimized crystal structure of NbCuTe2I.

Results
E above lowest polymorph	0.313	eV per atom
raw total energy	-3.617	eV per atom
ρ	6.5	g cm⁻³
calculated volume	138	Å³/cell
SG	No. 123

Cell: 5.111 5.111 5.274 Å, 90.00 90.00 90.00°
Positions (direct):
Nb1 0.000 0.000 0.000
Cu1 0.500 0.500 0.500
Te1 0.000 0.500 0.500
Te2 0.500 0.000 0.500
I1 0.500 0.500 0.000

The following is a DFT calculation (GGA-PBE) of an optimized crystal structure of Hf2ScPd9.

Results
formation enthalpy at 0 K	-893	meV per atom
raw total energy	-6.975	eV per atom
ρ	11.7	g cm⁻³
calculated volume	193	Å³/cell
SG	No. 123

Cell: 4.008 4.008 12.029 Å, 90.00 90.00 90.00°
Positions (direct):
Hf1 0.000 0.000 0.169
Hf2 0.000 0.000 0.831
Sc1 0.000 0.000 0.500
Pd1 0.000 0.500 0.000
Pd2 0.000 0.500 0.331
Pd3 0.000 0.500 0.669
Pd4 0.500 0.000 0.000
Pd5 0.500 0.000 0.331
Pd6 0.500 0.000 0.669
Pd7 0.500 0.500 0.165
Pd8 0.500 0.500 0.500
Pd9 0.500 0.500 0.835

The following is a DFT calculation (GGA-PBE) of an optimized crystal structure of Pr2UTl2Se6.

Results
raw total energy	-5.528	eV per atom
ρ	6.3	g cm⁻³
calculated volume	370	Å³/cell
SG	No. 12

Cell: 7.421 7.421 8.165 Å, 98.95 98.95 119.91°
Positions (direct):
Pr1 0.167 0.833 0.000
Pr2 0.833 0.167 0.000
U1 0.500 0.500 0.000
Tl1 0.330 0.670 0.500
Tl2 0.670 0.330 0.500
Se1 0.112 0.431 0.794
Se2 0.256 0.256 0.207
Se3 0.431 0.112 0.794
Se4 0.569 0.888 0.206
Se5 0.744 0.744 0.793
Se6 0.888 0.569 0.206

The following is a DFT calculation (GGA-PBE) of an optimized crystal structure of TaCr2As.

Results
formation enthalpy at 0 K	67	meV per atom
raw total energy	-8.870	eV per atom
ρ	10.5	g cm⁻³
calculated volume	57	Å³/cell
SG	No. 6

Cell: 2.923 4.190 4.777 Å, 90.00 103.09 90.00°
Positions (direct):
Ta1 0.000 0.000 0.000
Cr1 0.239 0.500 0.695
Cr2 0.538 0.000 0.516
As1 0.560 0.500 0.242

The following is a DFT calculation (GGA-PBE) of an optimized crystal structure of LaNi.

Results
formation enthalpy at 0 K	-258	meV per atom
raw total energy	-5.613	eV per atom
ρ	7.4	g cm⁻³
calculated volume	356	Å³/cell
SG	No. 19

Cell: 5.865 6.223 9.745 Å, 90.00 90.00 90.00°
Positions (direct):
La1 0.128 0.074 0.026
La2 0.153 0.631 0.826
La3 0.347 0.369 0.326
La4 0.372 0.926 0.526
La5 0.628 0.426 0.974
La6 0.653 0.869 0.174
La7 0.847 0.131 0.674
La8 0.872 0.574 0.474
Ni1 0.155 0.871 0.283
Ni2 0.159 0.578 0.109
Ni3 0.341 0.422 0.609
Ni4 0.345 0.129 0.783
Ni5 0.655 0.629 0.717
Ni6 0.659 0.922 0.891
Ni7 0.841 0.078 0.391
Ni8 0.845 0.371 0.217

The following is a DFT calculation (GGA-PBE) of an optimized crystal structure of Pr2Y2Pd15.

Results
formation enthalpy at 0 K	-565	meV per atom
raw total energy	-5.848	eV per atom
ρ	9.7	g cm⁻³
calculated volume	353	Å³/cell
SG	No. 166

Cell: 7.148 7.148 7.148 Å, 80.94 80.94 80.94°
Positions (direct):
Pr1 0.140 0.140 0.140
Pr2 0.860 0.860 0.860
Y1 0.392 0.392 0.392
Y2 0.608 0.608 0.608
Pd1 0.000 0.500 0.500
Pd2 0.150 0.150 0.659
Pd3 0.150 0.659 0.150
Pd4 0.194 0.500 0.806
Pd5 0.194 0.806 0.500
Pd6 0.341 0.850 0.850
Pd7 0.500 0.000 0.500
Pd8 0.500 0.194 0.806
Pd9 0.500 0.500 0.000
Pd10 0.500 0.806 0.194
Pd11 0.659 0.150 0.150
Pd12 0.806 0.194 0.500
Pd13 0.806 0.500 0.194
Pd14 0.850 0.341 0.850
Pd15 0.850 0.850 0.341

The following is a DFT calculation (GGA-PBE) of an optimized crystal structure of ZrInSi2Te.

Results
raw total energy	-3.947	eV per atom
ρ	4.7	g cm⁻³
calculated volume	139	Å³/cell
SG	No. 123

Cell: 4.916 4.916 5.753 Å, 90.00 90.00 90.00°
Positions (direct):
Zr1 0.000 0.000 0.000
In1 0.500 0.500 0.500
Si1 0.000 0.500 0.500
Si2 0.500 0.000 0.500
Te1 0.500 0.500 0.000

The following is a DFT calculation (GGA-PBE) of an optimized crystal structure of Cr3FeP.

Results
E above lowest polymorph	0.000	eV per atom
formation enthalpy at 0 K	888	meV per atom
raw total energy	-7.661	eV per atom
ρ	5.8	g cm⁻³
calculated volume	70	Å³/cell
SG	No. 221

Cell: 4.112 4.112 4.112 Å, 90.00 90.00 90.00°
Positions (direct):
Cr1 0.000 0.000 0.500
Cr2 0.000 0.500 0.000
Cr3 0.500 0.000 0.000
Fe1 0.500 0.500 0.500
P1 0.000 0.000 0.000

The following is a DFT calculation (GGA-PBE) of an optimized crystal structure of BSbAu2.

Results
E above lowest polymorph	0.499	eV per atom
raw total energy	-3.405	eV per atom
ρ	11.8	g cm⁻³
calculated volume	74	Å³/cell
SG	No. 225

Cell: 4.714 4.714 4.714 Å, 60.00 60.00 60.00°
Positions (direct):
B1 0.000 0.000 0.000
Sb1 0.500 0.500 0.500
Au1 0.250 0.250 0.250
Au2 0.750 0.750 0.750

The following is a DFT calculation (GGA-PBE) of an optimized crystal structure of YMnBRh2.

Results
formation enthalpy at 0 K	-527	meV per atom
raw total energy	-7.930	eV per atom
ρ	8.1	g cm⁻³
calculated volume	74	Å³/cell
SG	No. 123

Cell: 4.232 4.232 4.123 Å, 90.00 90.00 90.00°
Positions (direct):
Y1 0.000 0.000 0.000
Mn1 0.500 0.500 0.000
B1 0.500 0.500 0.500
Rh1 0.000 0.500 0.500
Rh2 0.500 0.000 0.500

The following is a DFT calculation (GGA-PBE) of an optimized crystal structure of Ti2HgTe2.

Results
E above lowest polymorph	0.000	eV per atom
raw total energy	-4.874	eV per atom
ρ	8.5	g cm⁻³
calculated volume	215	Å³/cell
SG	No. 127

Cell: 7.705 7.705 3.623 Å, 90.00 90.00 90.00°
Positions (direct):
Ti1 0.139 0.361 0.000
Ti2 0.361 0.861 0.000
Ti3 0.639 0.139 0.000
Ti4 0.861 0.639 0.000
Hg1 0.000 0.000 0.000
Hg2 0.500 0.500 0.000
Te1 0.151 0.651 0.500
Te2 0.349 0.151 0.500
Te3 0.651 0.849 0.500
Te4 0.849 0.349 0.500

The following is a DFT calculation (GGA-PBE) of an optimized crystal structure of LaAgO3.

Results
raw total energy	-5.990	eV per atom
ρ	7.3	g cm⁻³
calculated volume	67	Å³/cell
SG	No. 221

Cell: 4.068 4.068 4.068 Å, 90.00 90.00 90.00°
Positions (direct):
La1 0.000 0.000 0.000
Ag1 0.500 0.500 0.500
O1 0.000 0.500 0.500
O2 0.500 0.000 0.500
O3 0.500 0.500 0.000

The following is a DFT calculation (GGA-PBE) of an optimized crystal structure of PrGa4Pt4.

Results
formation enthalpy at 0 K	-737	meV per atom
raw total energy	-5.298	eV per atom
ρ	11.9	g cm⁻³
calculated volume	335	Å³/cell
SG	No. 137

Cell: 6.265 6.265 8.529 Å, 90.00 90.00 90.00°
Positions (direct):
Pr1 0.250 0.750 0.250
Pr2 0.750 0.250 0.750
Ga1 0.021 0.250 0.140
Ga2 0.250 0.021 0.640
Ga3 0.250 0.479 0.640
Ga4 0.479 0.250 0.140
Ga5 0.521 0.750 0.860
Ga6 0.750 0.521 0.360
Ga7 0.750 0.979 0.360
Ga8 0.979 0.750 0.860
Pt1 0.030 0.250 0.440
Pt2 0.250 0.030 0.940
Pt3 0.250 0.470 0.940
Pt4 0.470 0.250 0.440
Pt5 0.530 0.750 0.560
Pt6 0.750 0.530 0.060
Pt7 0.750 0.970 0.060
Pt8 0.970 0.750 0.560

The following is a DFT calculation (GGA-PBE) of an optimized crystal structure of Ac2PaAlO6.

Results
raw total energy	-8.126	eV per atom
ρ	9.1	g cm⁻³
calculated volume	294	Å³/cell
SG	No. 59

Cell: 5.673 8.303 6.239 Å, 90.00 90.00 90.00°
Positions (direct):
Ac1 0.250 0.019 0.210
Ac2 0.250 0.481 0.210
Ac3 0.750 0.519 0.790
Ac4 0.750 0.981 0.790
Pa1 0.250 0.250 0.704
Pa2 0.750 0.750 0.296
Al1 0.250 0.750 0.777
Al2 0.750 0.250 0.223
O1 0.000 0.250 0.425
O2 0.000 0.750 0.575
O3 0.009 0.750 0.011
O4 0.250 0.517 0.793
O5 0.250 0.983 0.793
O6 0.491 0.750 0.011
O7 0.500 0.250 0.425
O8 0.500 0.750 0.575
O9 0.509 0.250 0.989
O10 0.750 0.017 0.207
O11 0.750 0.483 0.207
O12 0.991 0.250 0.989

The following is a DFT calculation (GGA-PBE) of an optimized crystal structure of CrFeNi.

Results
E above lowest polymorph	0.000	eV per atom
formation enthalpy at 0 K	50	meV per atom
raw total energy	-7.906	eV per atom
ρ	8.2	g cm⁻³
calculated volume	68	Å³/cell
SG	No. 63

Cell: 5.598 5.598 3.596 Å, 90.00 90.00 143.07°
Positions (direct):
Cr1 0.094 0.906 0.750
Cr2 0.906 0.094 0.250
Fe1 0.251 0.749 0.250
Fe2 0.749 0.251 0.750
Ni1 0.419 0.581 0.750
Ni2 0.581 0.419 0.250

The following is a DFT calculation (GGA-PBE) of an optimized crystal structure of Pm6AsCl8.

Results
raw total energy	-4.974	eV per atom
ρ	4.7	g cm⁻³
calculated volume	436	Å³/cell
SG	No. 148

Cell: 10.927 10.927 10.927 Å, 37.64 37.64 37.64°
Positions (direct):
Pm1 0.115 0.782 0.448
Pm2 0.218 0.552 0.885
Pm3 0.448 0.115 0.782
Pm4 0.552 0.885 0.218
Pm5 0.782 0.448 0.115
Pm6 0.885 0.218 0.552
As1 0.500 0.500 0.500
Cl1 0.065 0.394 0.722
Cl2 0.167 0.167 0.167
Cl3 0.278 0.935 0.606
Cl4 0.394 0.722 0.065
Cl5 0.606 0.278 0.935
Cl6 0.722 0.065 0.394
Cl7 0.833 0.833 0.833
Cl8 0.935 0.606 0.278

The following is a DFT calculation (GGA-PBE) of an optimized crystal structure of TbPrNdSm.

Results
E above lowest polymorph	0.000	eV per atom
formation enthalpy at 0 K	16	meV per atom
raw total energy	-4.708	eV per atom
ρ	7.2	g cm⁻³
calculated volume	137	Å³/cell
SG	No. 119

Cell: 6.321 6.321 6.321 Å, 131.83 131.83 70.49°
Positions (direct):
Tb1 0.000 0.000 0.000
Pr1 0.500 0.500 0.000
Nd1 0.250 0.750 0.500
Sm1 0.750 0.250 0.500

The following is a DFT calculation (GGA-PBE) of an optimized crystal structure of Na2AlNiGe.

Results
formation enthalpy at 0 K	498	meV per atom
raw total energy	-2.858	eV per atom
ρ	2.9	g cm⁻³
calculated volume	118	Å³/cell
SG	No. 123

Cell: 5.071 5.071 4.570 Å, 90.00 90.00 90.00°
Positions (direct):
Na1 0.000 0.500 0.000
Na2 0.500 0.000 0.000
Al1 0.000 0.000 0.500
Ni1 0.000 0.000 0.000
Ge1 0.500 0.500 0.500

The following is a DFT calculation (GGA-PBE) of an optimized crystal structure of VInPd5.

Results
E above lowest polymorph	0.044	eV per atom
formation enthalpy at 0 K	-147	meV per atom
raw total energy	-5.550	eV per atom
ρ	9.9	g cm⁻³
calculated volume	235	Å³/cell
SG	No. 15

Cell: 5.311 5.311 9.161 Å, 93.43 93.43 65.58°
Positions (direct):
V1 0.115 0.885 0.750
V2 0.885 0.115 0.250
In1 0.500 0.500 0.000
In2 0.500 0.500 0.500
Pd1 0.089 0.205 0.995
Pd2 0.144 0.429 0.737
Pd3 0.205 0.089 0.495
Pd4 0.296 0.704 0.250
Pd5 0.429 0.144 0.237
Pd6 0.571 0.856 0.763
Pd7 0.704 0.296 0.750
Pd8 0.795 0.911 0.505
Pd9 0.856 0.571 0.263
Pd10 0.911 0.795 0.005

The following is a DFT calculation (GGA-PBE) of an optimized crystal structure of La5PmY3.

Results
E above lowest polymorph	0.000	eV per atom
formation enthalpy at 0 K	237	meV per atom
raw total energy	-5.183	eV per atom
ρ	5.6	g cm⁻³
calculated volume	657	Å³/cell
SG	No. 15

Cell: 10.060 10.060 11.519 Å, 112.94 112.94 38.23°
Positions (direct):
La1 0.036 0.622 0.288
La2 0.092 0.908 0.750
La3 0.151 0.512 0.638
La4 0.378 0.964 0.212
La5 0.488 0.849 0.862
La6 0.512 0.151 0.138
La7 0.622 0.036 0.788
La8 0.849 0.488 0.362
La9 0.908 0.092 0.250
La10 0.964 0.378 0.712
Pm1 0.367 0.633 0.250
Pm2 0.633 0.367 0.750
Y1 0.049 0.633 0.985
Y2 0.367 0.951 0.515
Y3 0.500 0.500 0.000
Y4 0.500 0.500 0.500
Y5 0.633 0.049 0.485
Y6 0.951 0.367 0.015

The following is a DFT calculation (GGA-PBE) of an optimized crystal structure of Ti3As.

Results
E above lowest polymorph	0.168	eV per atom
formation enthalpy at 0 K	-498	meV per atom
raw total energy	-7.582	eV per atom
ρ	5.7	g cm⁻³
calculated volume	126	Å³/cell
SG	No. 223

Cell: 5.019 5.019 5.019 Å, 90.00 90.00 90.00°
Positions (direct):
Ti1 0.000 0.250 0.500
Ti2 0.000 0.750 0.500
Ti3 0.250 0.500 0.000
Ti4 0.500 0.000 0.250
Ti5 0.500 0.000 0.750
Ti6 0.750 0.500 0.000
As1 0.000 0.000 0.000
As2 0.500 0.500 0.500

The following is a DFT calculation (GGA-PBE) of an optimized crystal structure of SiGe3Bi.

Results
E above lowest polymorph	0.000	eV per atom
raw total energy	-4.143	eV per atom
ρ	6.5	g cm⁻³
calculated volume	117	Å³/cell
SG	No. 221

Cell: 4.888 4.888 4.888 Å, 90.00 90.00 90.00°
Positions (direct):
Si1 0.000 0.000 0.000
Ge1 0.000 0.000 0.500
Ge2 0.000 0.500 0.000
Ge3 0.500 0.000 0.000
Bi1 0.500 0.500 0.500